{"formula": "Te2OsRu", "functional": "GGA-PBEsol", "state": "relaxed", "e_tot_ev_per_fu": -26.114, "volume_a3_per_atom": 17.8, "formation_energy_uncorrected_ev_per_fu": 3.3, "lattice_angstrom": [[-1.949, 1.949, 4.675], [1.949, -1.949, 4.675], [1.949, 1.949, -4.675]], "species": ["Te", "Te", "Os", "Ru"], "fractional_positions": [[0.000, 0.000, 0.000], [0.750, 0.250, 0.500], [0.500, 0.500, 0.000], [0.250, 0.750, 0.500]]}